# Tb2PmDy GGA-PBE optimized geometry
# SG ... P4/mmm, No. 123
# ΔE_f ... 0.0172 eV/atom
# V ... 129.5 Å³/cell
# Total moment ... 0.000 Bohr magnetons per cell
data_Tb2PmDy
_chemical_formula_sum 'Tb2 Pm1 Dy1'
_cell_length_a 3.576
_cell_length_b 3.576
_cell_length_c 10.122
_cell_angle_alpha 90.00
_cell_angle_beta 90.00
_cell_angle_gamma 90.00
_symmetry_space_group_name_H-M 'P 1'
_symmetry_Int_Tables_number 1
loop_
_symmetry_equiv_pos_as_xyz
'x,y,z'
loop_
_atom_site_label
_atom_site_fract_x
_atom_site_fract_y
_atom_site_fract_z
Tb1 0.000 0.000 0.246
Tb2 0.000 0.000 0.754
Pm1 0.500 0.500 0.500
Dy1 0.500 0.500 0.000